# Y2InAs, optimized geometry, DFT PBE
data_Y2InAs
_cell_length_a 7.4170
_cell_length_b 7.4170
_cell_length_c 7.4170
_cell_angle_alpha 90.00
_cell_angle_beta 90.00
_cell_angle_gamma 90.00
_symmetry_space_group_name_H-M 'F -4 3 m'
_symmetry_Int_Tables_number 216
_symmetry_space_group_name_Hall 'F -4 2 3'
loop_
_atom_site_label
_atom_site_fract_x
_atom_site_fract_y
_atom_site_fract_z
Y1 0.0000 0.0000 0.0000
Y2 0.2500 0.2500 0.2500
In1 0.2500 0.2500 0.7500
As1 0.0000 0.0000 0.5000
# * formation enthalpy at 0 K: -0.07 eV per atom
# * offset from the most stable computed form: 88.5 kJ/mol of atoms